This record from the Alexandria database describes In2Co3 after structural relaxation. The functional is PBE.

Summary:
Crystal system   trigonal
Excess energy over the best structure of this formula in the dataset   0.393 eV/atom
Energy relative to the elements   0.584 eV/atom
Total energy   -0.175 hartree per atom
Magnetic moment   2.000 μB/f.u.

The structure in CIF format:
```
data_In2Co3
_chemical_formula_sum 'In2 Co3'
_space_group_name_H-M_alt 'P -3 m 1'
_space_group_IT_number 164
_space_group_name_Hall '-P 3 2"'
_cell_length_a 4.2783
_cell_length_b 4.2783
_cell_length_c 5.2173
_cell_angle_alpha 90.00
_cell_angle_beta 90.00
_cell_angle_gamma 120.00
loop_
_atom_site_label
_atom_site_type_symbol
_atom_site_fract_x
_atom_site_fract_y
_atom_site_fract_z
In1 In 0.3333 0.6667 0.3020
Co1 Co 0.0000 0.0000 0.5000
Co2 Co 0.3333 0.6667 0.8170
```



This record from the Alexandria database describes La6Pm12Dy after structural relaxation. The functional is PBE.

Summary:
Crystal system   trigonal
Excess energy over the best structure of this formula in the dataset   0.161 eV/atom
Energy relative to the elements   0.282 eV/atom
Total energy   -0.166 hartree per atom
Magnetic moment   0.012 μB/f.u.

The structure in CIF format:
```
data_La6Pm12Dy
_chemical_formula_sum 'La18 Pm36 Dy3'
_space_group_name_H-M_alt 'R -3 m'
_space_group_IT_number 166
_space_group_name_Hall '-R 3 2"'
_cell_length_a 16.7051
_cell_length_b 16.7051
_cell_length_c 8.5138
_cell_angle_alpha 90.00
_cell_angle_beta 90.00
_cell_angle_gamma 120.00
loop_
_atom_site_label
_atom_site_type_symbol
_atom_site_fract_x
_atom_site_fract_y
_atom_site_fract_z
La1 La 0.0858 0.1717 0.1483
Pm1 Pm 0.0000 0.3778 0.0000
Pm2 Pm 0.0925 0.5463 0.3138
Dy1 Dy 0.0000 0.0000 0.5000
```



This record from the Alexandria database describes CaScTa2 after structural relaxation. The functional is PBE.

Summary:
Crystal system   trigonal
Excess energy over the best structure of this formula in the dataset   0.247 eV/atom
Energy relative to the elements   0.509 eV/atom
Total energy   -0.276 hartree per atom
Magnetic moment   0.000 μB/f.u.

The structure in CIF format:
```
data_CaScTa2
_chemical_formula_sum 'Ca3 Sc3 Ta6'
_space_group_name_H-M_alt 'R -3 m'
_space_group_IT_number 166
_space_group_name_Hall '-R 3 2"'
_cell_length_a 3.0762
_cell_length_b 3.0762
_cell_length_c 32.0040
_cell_angle_alpha 90.00
_cell_angle_beta 90.00
_cell_angle_gamma 120.00
loop_
_atom_site_label
_atom_site_type_symbol
_atom_site_fract_x
_atom_site_fract_y
_atom_site_fract_z
Ca1 Ca 0.0000 0.0000 0.0000
Sc1 Sc 0.0000 0.0000 0.5000
Ta1 Ta 0.0000 0.0000 0.2453
```



This record from the Alexandria database describes K8PbO6 after structural relaxation. The functional is PBE.

Summary:
Crystal system   orthorhombic
Total energy   -0.143 hartree per atom
Magnetic moment   0.217 μB/f.u.
Energy relative to the elements, uncorrected   -1.083 eV/atom

The structure in CIF format:
```
data_K8PbO6
_chemical_formula_sum 'K16 Pb2 O12'
_space_group_name_H-M_alt 'P m n 21'
_space_group_IT_number 31
_cell_length_a 7.7210
_cell_length_b 8.1217
_cell_length_c 10.9701
_cell_angle_alpha 90.00
_cell_angle_beta 90.00
_cell_angle_gamma 90.00
loop_
_space_group_symop_operation_xyz
'x,y,z'
'-x+1/2,-y,z+1/2'
'-x,y,z'
'x+1/2,-y,z+1/2'
loop_
_atom_site_label
_atom_site_type_symbol
_atom_site_fract_x
_atom_site_fract_y
_atom_site_fract_z
K1 K 0.0000 0.1700 0.0000
K2 K 0.0000 0.1773 0.4556
K3 K 0.1967 0.6661 0.1050
K4 K 0.2057 0.5942 0.7903
K5 K 0.2200 0.9703 0.7602
Pb1 Pb 0.0000 0.7074 0.4601
O1 O 0.0000 0.2390 0.2337
O2 O 0.0000 0.4849 0.5658
O3 O 0.0000 0.7909 0.9322
O4 O 0.0000 0.9101 0.5811
O5 O 0.2211 0.7203 0.3459
```



This record from the Alexandria database describes Na4PrTm3Te8 after structural relaxation. The functional is PBE.

Summary:
Crystal system   trigonal
Total energy   -0.159 hartree per atom
Magnetic moment   0.000 μB/f.u.
Energy relative to the elements, uncorrected   -1.297 eV/atom

The structure in CIF format:
```
data_Na4PrTm3Te8
_chemical_formula_sum 'Na12 Pr3 Tm9 Te24'
_space_group_name_H-M_alt 'R -3 m'
_space_group_IT_number 166
_space_group_name_Hall '-R 3 2"'
_cell_length_a 8.8700
_cell_length_b 8.8700
_cell_length_c 22.7054
_cell_angle_alpha 90.00
_cell_angle_beta 90.00
_cell_angle_gamma 120.00
loop_
_atom_site_label
_atom_site_type_symbol
_atom_site_fract_x
_atom_site_fract_y
_atom_site_fract_z
Na1 Na 0.0000 0.0000 0.0000
Na2 Na 0.0000 0.5000 0.0000
Pr1 Pr 0.0000 0.0000 0.5000
Tm1 Tm 0.0000 0.5000 0.5000
Te1 Te 0.0000 0.0000 0.2425
Te2 Te 0.0105 0.5052 0.7556
```



This record from the Alexandria database describes CrInAs2 after structural relaxation. The functional is PBE.

Summary:
Crystal system   monoclinic
Energy relative to the elements   -0.001 eV/atom
Total energy   -0.199 hartree per atom
Magnetic moment   2.448 μB/f.u.

The structure in CIF format:
```
data_CrInAs2
_chemical_formula_sum 'Cr2 In2 As4'
_space_group_name_H-M_alt 'C 1 2/m 1'
_space_group_IT_number 12
_cell_length_a 6.4837
_cell_length_b 3.7568
_cell_length_c 7.0619
_cell_angle_alpha 90.00
_cell_angle_beta 108.16
_cell_angle_gamma 90.00
loop_
_space_group_symop_operation_xyz
'x,y,z'
'-x,-y,-z'
'-x,y,-z'
'x,-y,z'
'x+1/2,y+1/2,z'
'-x+1/2,-y+1/2,-z'
'-x+1/2,y+1/2,-z'
'x+1/2,-y+1/2,z'
loop_
_atom_site_label
_atom_site_type_symbol
_atom_site_fract_x
_atom_site_fract_y
_atom_site_fract_z
Cr1 Cr 0.0000 0.0000 0.0000
In1 In 0.0000 0.5000 0.5000
As1 As 0.2340 0.5000 0.1992
```